Compound: SiSnIO2
Source: the Alexandria database
Functional: PBE
Structure: relaxed

It has space group P4/mmm (No. 123), with a = 4.0694 Å, b = 4.0694 Å, c = 5.3095 Å, α = 90.00°, β = 90.00° and γ = 90.00°. The distinct sites, in fractional coordinates, are Si at (0.0000, 0.0000, 0.0000), Sn at (0.5000, 0.5000, 0.5000), I at (0.0000, 0.0000, 0.5000) and O at (0.0000, 0.5000, 0.0000).

The value obtained for the formation energy from raw total energies is -253.5 meV/atom.


Compound: SiSnI2O
Source: the Alexandria database
Functional: PBE
Structure: relaxed

It has space group P4/mmm (No. 123), with a = 6.0883 Å, b = 6.0883 Å, c = 4.0129 Å, α = 90.00°, β = 90.00° and γ = 90.00°. The distinct sites, in fractional coordinates, are Si at (0.0000, 0.0000, 0.0000), Sn at (0.5000, 0.5000, 0.5000), I at (0.0000, 0.5000, 0.5000) and O at (0.5000, 0.5000, 0.0000).

The value obtained for the formation energy from raw total energies is 138.4 meV/atom.


Compound: SiSnIO2
Source: the Alexandria database
Functional: PBE
Structure: relaxed

It has space group P4/mmm (No. 123), with a = 4.0375 Å, b = 4.0375 Å, c = 7.0517 Å, α = 90.00°, β = 90.00° and γ = 90.00°. The distinct sites, in fractional coordinates, are Si at (0.0000, 0.0000, 0.0000), Sn at (0.5000, 0.5000, 0.5000), I at (0.5000, 0.5000, 0.0000) and O at (0.0000, 0.5000, 0.5000).

The value obtained for the formation energy from raw total energies is -93.5 meV/atom.


Compound: SiSnI2O
Source: the Alexandria database
Functional: PBE
Structure: relaxed

It has space group P4/mmm (No. 123), with a = 5.9390 Å, b = 5.9390 Å, c = 3.5790 Å, α = 90.00°, β = 90.00° and γ = 90.00°. The distinct sites, in fractional coordinates, are Si at (0.0000, 0.0000, 0.0000), Sn at (0.5000, 0.5000, 0.5000), I at (0.0000, 0.5000, 0.0000) and O at (0.0000, 0.0000, 0.5000).

The value obtained for the formation energy from raw total energies is -372.1 meV/atom.


Compound: SrSiI2O
Source: the Alexandria database
Functional: PBE
Structure: relaxed

It has space group P4/mmm (No. 123), with a = 6.3645 Å, b = 6.3645 Å, c = 4.2800 Å, α = 90.00°, β = 90.00° and γ = 90.00°. The distinct sites, in fractional coordinates, are Sr at (0.0000, 0.0000, 0.0000), Si at (0.5000, 0.5000, 0.5000), I at (0.0000, 0.5000, 0.0000) and O at (0.0000, 0.0000, 0.5000).

The value obtained for the formation energy from raw total energies is -189.9 meV/atom.


Compound: SrSiI2O
Source: the Alexandria database
Functional: PBE
Structure: relaxed

It has space group P4/mmm (No. 123), with a = 6.0533 Å, b = 6.0533 Å, c = 3.7265 Å, α = 90.00°, β = 90.00° and γ = 90.00°. The distinct sites, in fractional coordinates, are Sr at (0.0000, 0.0000, 0.0000), Si at (0.5000, 0.5000, 0.5000), I at (0.0000, 0.5000, 0.5000) and O at (0.5000, 0.5000, 0.0000).

The value obtained for the formation energy from raw total energies is -916.3 meV/atom.


Compound: SrSiIO6
Source: the Alexandria database
Functional: PBE
Structure: relaxed

It has space group P312 (No. 149), with a = 5.1123 Å, b = 5.1123 Å, c = 5.4592 Å, α = 90.00°, β = 90.00° and γ = 120.00°. The distinct sites, in fractional coordinates, are Sr at (0.0000, 0.0000, 0.0000), Si at (0.6667, 0.3333, 0.5000), I at (0.3333, 0.6667, 0.5000) and O at (0.3986, 0.0298, 0.3035).

The value obtained for the formation energy from raw total energies is -1686.9 meV/atom.


Compound: TaSiIO2
Source: the Alexandria database
Functional: PBE
Structure: relaxed

It has space group P4/mmm (No. 123), with a = 3.7938 Å, b = 3.7938 Å, c = 5.5628 Å, α = 90.00°, β = 90.00° and γ = 90.00°. The distinct sites, in fractional coordinates, are Ta at (0.0000, 0.0000, 0.0000), Si at (0.5000, 0.5000, 0.5000), I at (0.5000, 0.5000, 0.0000) and O at (0.0000, 0.5000, 0.5000).

The value obtained for the formation energy from raw total energies is 208.5 meV/atom.


Compound: TaSiIO2
Source: the Alexandria database
Functional: PBE
Structure: relaxed

It has space group P4/mmm (No. 123), with a = 3.9756 Å, b = 3.9756 Å, c = 6.2158 Å, α = 90.00°, β = 90.00° and γ = 90.00°. The distinct sites, in fractional coordinates, are Ta at (0.0000, 0.0000, 0.0000), Si at (0.5000, 0.5000, 0.5000), I at (0.0000, 0.0000, 0.5000) and O at (0.0000, 0.5000, 0.0000).

The value obtained for the formation energy from raw total energies is -814.1 meV/atom.


Compound: SiTcI2O
Source: the Alexandria database
Functional: PBE
Structure: relaxed

It has space group P4/mmm (No. 123), with a = 5.5638 Å, b = 5.5638 Å, c = 3.7493 Å, α = 90.00°, β = 90.00° and γ = 90.00°. The distinct sites, in fractional coordinates, are Si at (0.0000, 0.0000, 0.0000), Tc at (0.5000, 0.5000, 0.5000), I at (0.0000, 0.5000, 0.5000) and O at (0.5000, 0.5000, 0.0000).

The value obtained for the formation energy from raw total energies is 125.9 meV/atom.


Compound: SiTcI2O
Source: the Alexandria database
Functional: PBE
Structure: relaxed

It has space group P4/mmm (No. 123), with a = 5.6901 Å, b = 5.6901 Å, c = 3.5028 Å, α = 90.00°, β = 90.00° and γ = 90.00°. The distinct sites, in fractional coordinates, are Si at (0.0000, 0.0000, 0.0000), Tc at (0.5000, 0.5000, 0.5000), I at (0.0000, 0.5000, 0.0000) and O at (0.0000, 0.0000, 0.5000).

The value obtained for the formation energy from raw total energies is 285.6 meV/atom.


Compound: SiTeIO2
Source: the Alexandria database
Functional: PBE
Structure: relaxed

It has space group P4/mmm (No. 123), with a = 4.0859 Å, b = 4.0859 Å, c = 7.8489 Å, α = 90.00°, β = 90.00° and γ = 90.00°. The distinct sites, in fractional coordinates, are Si at (0.0000, 0.0000, 0.0000), Te at (0.5000, 0.5000, 0.5000), I at (0.5000, 0.5000, 0.0000) and O at (0.0000, 0.5000, 0.5000).

The value obtained for the formation energy from raw total energies is 86.0 meV/atom.


Compound: SiTe2IO
Source: the Alexandria database
Functional: PBE
Structure: relaxed

It has space group P4/mmm (No. 123), with a = 4.4829 Å, b = 4.4829 Å, c = 6.4744 Å, α = 90.00°, β = 90.00° and γ = 90.00°. The distinct sites, in fractional coordinates, are Si at (0.0000, 0.0000, 0.0000), Te at (0.0000, 0.5000, 0.5000), I at (0.5000, 0.5000, 0.0000) and O at (0.5000, 0.5000, 0.5000).

The value obtained for the formation energy from raw total energies is 396.5 meV/atom.


Compound: SiTeIO2
Source: the Alexandria database
Functional: PBE
Structure: relaxed

It has space group P4/mmm (No. 123), with a = 3.8990 Å, b = 3.8990 Å, c = 6.3074 Å, α = 90.00°, β = 90.00° and γ = 90.00°. The distinct sites, in fractional coordinates, are Si at (0.0000, 0.0000, 0.0000), Te at (0.5000, 0.5000, 0.5000), I at (0.0000, 0.0000, 0.5000) and O at (0.0000, 0.5000, 0.0000).

The value obtained for the formation energy from raw total energies is -113.6 meV/atom.


Compound: SiTeI2O
Source: the Alexandria database
Functional: PBE
Structure: relaxed

It has space group P4/mmm (No. 123), with a = 5.2166 Å, b = 5.2166 Å, c = 4.6014 Å, α = 90.00°, β = 90.00° and γ = 90.00°. The distinct sites, in fractional coordinates, are Si at (0.0000, 0.0000, 0.0000), Te at (0.5000, 0.5000, 0.0000), I at (0.0000, 0.5000, 0.5000) and O at (0.5000, 0.5000, 0.5000).

The value obtained for the formation energy from raw total energies is 613.2 meV/atom.


Compound: SiTe2IO
Source: the Alexandria database
Functional: PBE
Structure: relaxed

It has space group P4/mmm (No. 123), with a = 5.2573 Å, b = 5.2573 Å, c = 5.2916 Å, α = 90.00°, β = 90.00° and γ = 90.00°. The distinct sites, in fractional coordinates, are Si at (0.0000, 0.0000, 0.0000), Te at (0.0000, 0.5000, 0.0000), I at (0.0000, 0.0000, 0.5000) and O at (0.5000, 0.5000, 0.5000).

The value obtained for the formation energy from raw total energies is 983.1 meV/atom.


Compound: SiTeI2O
Source: the Alexandria database
Functional: PBE
Structure: relaxed

It has space group P4/mmm (No. 123), with a = 5.9246 Å, b = 5.9246 Å, c = 3.5174 Å, α = 90.00°, β = 90.00° and γ = 90.00°. The distinct sites, in fractional coordinates, are Si at (0.0000, 0.0000, 0.0000), Te at (0.5000, 0.5000, 0.5000), I at (0.0000, 0.5000, 0.0000) and O at (0.0000, 0.0000, 0.5000).

The value obtained for the formation energy from raw total energies is -182.0 meV/atom.


Compound: SiTeI2O
Source: the Alexandria database
Functional: PBE
Structure: relaxed

It has space group P4/mmm (No. 123), with a = 6.1592 Å, b = 6.1592 Å, c = 4.0470 Å, α = 90.00°, β = 90.00° and γ = 90.00°. The distinct sites, in fractional coordinates, are Si at (0.0000, 0.0000, 0.0000), Te at (0.5000, 0.5000, 0.5000), I at (0.0000, 0.5000, 0.5000) and O at (0.5000, 0.5000, 0.0000).

The value obtained for the formation energy from raw total energies is 344.1 meV/atom.


Compound: TlSiI2O
Source: the Alexandria database
Functional: PBE
Structure: relaxed

It has space group P4/mmm (No. 123), with a = 6.0429 Å, b = 6.0429 Å, c = 3.6124 Å, α = 90.00°, β = 90.00° and γ = 90.00°. The distinct sites, in fractional coordinates, are Tl at (0.0000, 0.0000, 0.0000), Si at (0.5000, 0.5000, 0.5000), I at (0.0000, 0.5000, 0.5000) and O at (0.5000, 0.5000, 0.0000).

The value obtained for the formation energy from raw total energies is -575.7 meV/atom.


Compound: TlSiI2O
Source: the Alexandria database
Functional: PBE
Structure: relaxed

It has space group P4/mmm (No. 123), with a = 5.0390 Å, b = 5.0390 Å, c = 5.2503 Å, α = 90.00°, β = 90.00° and γ = 90.00°. The distinct sites, in fractional coordinates, are Tl at (0.0000, 0.0000, 0.0000), Si at (0.5000, 0.5000, 0.0000), I at (0.0000, 0.5000, 0.5000) and O at (0.0000, 0.0000, 0.5000).

The value obtained for the formation energy from raw total energies is 533.9 meV/atom.